Entry 1:
A plane-wave DFT calculation with PBE was carried out for an optimized crystal structure of Zn2PAu2.

It has space group P4/mbm (No. 127), with a = 7.7940 Å, b = 7.7940 Å, c = 2.8437 Å, α = 90.00°, β = 90.00° and γ = 90.00°. Symmetry generates all atoms from Zn at (0.1662, 0.3338, 0.0000), P at (0.0000, 0.0000, 0.0000) and Au at (0.1328, 0.6328, 0.5000).

For the magnetization, the calculation gives 0.00 μB per cell. The formation energy is 0.148 eV/atom. The value obtained for the energy above the lowest structure with this stoichiometry is 0.070 eV per atom.

=====

Entry 2:
A plane-wave DFT calculation with PBE was carried out for an optimized crystal structure of ZnPAu.

It has space group Fmm2 (No. 42), with a = 3.6559 Å, b = 4.1768 Å, c = 13.5920 Å, α = 90.00°, β = 90.00° and γ = 90.00°. Symmetry generates all atoms from Zn at (0.0000, 0.0000, 0.0000), P at (0.0000, 0.0000, 0.6385) and Au at (0.0000, 0.0000, 0.3522).

For the magnetization, the calculation gives 0.00 μB per cell. The formation energy is 0.244 eV/atom.